Crystalline CdCoHg2 at its relaxed geometry, computed with PBE.

Lattice parameters (Å, degrees): 2.9112 4.5355 12.8307 90.00 90.00 90.00
With the nearest neighbours (Å) after each atom.
Space group Immm (No. 71)
One atom of each set of equivalent atoms:
Cd (0.0000, 0.0000, 0.0000) (multiplicity 2)  4 Co 2.69, 2 Cd 2.91
Co (0.0000, 0.0000, 0.5000) (multiplicity 2)  4 Cd 2.69, 4 Hg 2.71, 2 Co 2.91
Hg (0.0000, 0.5000, 0.1781) (multiplicity 4)  2 Co 2.71, 2 Hg 2.91

***

Crystalline CdCoHg2 at its relaxed geometry, computed with PBE.

Lattice parameters (Å, degrees): 4.1145 4.1145 9.0229 90.00 90.00 90.00
With the nearest neighbours (Å) after each atom.
Space group I-4m2 (No. 119)
One atom of each set of equivalent atoms:
Cd (0.0000, 0.0000, 0.0000) (multiplicity 2)  8 Hg 2.91-3.05, 4 Co 3.05
Co (0.0000, 0.5000, 0.7500) (multiplicity 2)  8 Hg 2.91-3.05, 4 Cd 3.05
Hg (0.0000, 0.0000, 0.5000) (multiplicity 2)  4 Cd 2.91, 4 Hg 3.05, 4 Co 3.05
Hg (0.0000, 0.5000, 0.2500) (multiplicity 2)  4 Co 2.91, 4 Hg 3.05, 4 Cd 3.05

***

| no. | energy of formation from the pure elements (eV per atom) | ρ (g cm⁻³) |
| --- | --- | --- |
| 1 | 0.253 | 11.22 |
| 2 | 0.395 | 12.45 |